VASP calculation (PBE) on ZrAlCu4 after structural relaxation.

a b c (Å): 4.183 4.183 5.764
angles (deg): 90.00 90.00 120.00
Positions (direct):
Zr: 0.000 0.000 0.000
Al: 0.000 0.000 0.500
Cu: 0.333 0.667 0.272
Cu: 0.333 0.667 0.728
Cu: 0.667 0.333 0.272
Cu: 0.667 0.333 0.728

Output
Space group = P6/mmm (191)
Formation enthalpy at 0 K = -0.1701 eV/atom
Volume = 14.6 A^3/atom
Total moment = 0.000 μB per atom